VASP calculation (PBE-GGA) on a geometry-optimized CuAgBr2 structure.

abc: 6.0851 6.0851 7.2616
angles: 65.23 65.23 90.00
Closest atoms and distances in Å follow each position.
Atoms (fractional coordinates):
1 Cu 0.5000 0.5000 0.0000  4 Br 2.48
2 Cu 0.2500 0.7500 0.5000  4 Br 2.48
3 Br 0.5881 0.1250 0.2500  2 Cu 2.48, 2 Ag 2.74
4 Br 0.1619 0.6250 0.2500  2 Cu 2.48, 2 Ag 2.74
5 Br 0.3750 0.4119 0.7500  2 Cu 2.48, 2 Ag 2.74
6 Br 0.8750 0.8381 0.7500  2 Cu 2.48, 2 Ag 2.74
7 Ag 0.0000 0.0000 0.0000  4 Br 2.74
8 Ag 0.7500 0.2500 0.5000  4 Br 2.74

Uncorrected energy in Ry/atom: -0.2101
E_form (uncorrected) in meV/atom: -286
SG: No. 122

---

VASP calculation (PBE-GGA) on a geometry-optimized Cu2AgBr structure.

abc: 6.2178 6.2178 6.4905
angles: 61.38 61.38 90.00
Closest atoms and distances in Å follow each position.
Atoms (fractional coordinates):
1 Cu 0.6106 0.1250 0.2500  2 Br 2.45, 2 Ag 2.56
2 Cu 0.1394 0.6250 0.2500  2 Br 2.45, 2 Ag 2.56
3 Cu 0.3750 0.3894 0.7500  2 Br 2.45, 2 Ag 2.56
4 Cu 0.8750 0.8606 0.7500  2 Br 2.45, 2 Ag 2.56
5 Br 0.5000 0.5000 0.0000  4 Cu 2.45
6 Br 0.2500 0.7500 0.5000  4 Cu 2.45
7 Ag 0.0000 0.0000 0.0000  4 Cu 2.56
8 Ag 0.7500 0.2500 0.5000  4 Cu 2.56

Uncorrected energy in Ry/atom: -0.2016
E_form (uncorrected) in meV/atom: 436
SG: No. 122

---

VASP calculation (PBE-GGA) on a geometry-optimized Cu2AgBr structure.

abc: 5.5424 5.5424 5.5424
angles: 140.10 140.10 57.70
Closest atoms and distances in Å follow each position.
Atoms (fractional coordinates):
1 Ag 0.5000 0.5000 0.0000  4 Cu 2.67
2 Br 0.7500 0.2500 0.5000  4 Cu 2.67
3 Cu 0.0000 0.0000 0.0000  4 Ag 2.67
4 Cu 0.2500 0.7500 0.5000  4 Br 2.67

Uncorrected energy in Ry/atom: -0.2042
E_form (uncorrected) in meV/atom: 401
SG: No. 119

---

VASP calculation (PBE-GGA) on a geometry-optimized CuAgBr2 structure.

abc: 4.0893 4.0893 7.5637
angles: 90.00 90.00 116.09
Closest atoms and distances in Å follow each position.
Atoms (fractional coordinates):
1 Ag 0.5000 0.5000 0.7220  3 Br 2.58-2.71, 2 Cu 2.71
2 Br 0.0000 0.0000 0.9085  2 Ag 2.58
3 Br 0.5000 0.5000 0.3642  2 Cu 2.41
4 Cu 0.0000 0.0000 0.5053  2 Br 2.41

Uncorrected energy in Ry/atom: -0.2009
E_form (uncorrected) in meV/atom: -159
SG: No. 35

---

VASP calculation (PBE-GGA) on a geometry-optimized Cu2AgBr5 structure.

abc: 5.0611 7.3178 13.5812
angles: 90.00 90.00 110.23
Closest atoms and distances in Å follow each position.
Atoms (fractional coordinates):
1 Cu 0.1913 0.3826 0.5881  5 Br 2.39-2.59
2 Cu 0.8087 0.6174 0.4119  5 Br 2.39-2.59
3 Cu 0.8087 0.6174 0.0881  5 Br 2.39-2.59
4 Cu 0.1913 0.3826 0.9119  5 Br 2.39-2.59
5 Ag 0.8787 0.7575 0.7500  4 Br 2.67-2.80
6 Ag 0.1213 0.2425 0.2500  4 Br 2.67-2.80
7 Br 0.7086 0.4172 0.2500  2 Cu 2.59, 2 Ag 2.80
8 Br 0.2914 0.5828 0.7500  2 Cu 2.59, 2 Ag 2.80
9 Br 0.2977 0.5954 0.0585  3 Cu 2.47-2.57
10 Br 0.7023 0.4046 0.9415  3 Cu 2.47-2.57
11 Br 0.7023 0.4046 0.5585  3 Cu 2.47-2.57
12 Br 0.2977 0.5954 0.4415  3 Cu 2.47-2.57
13 Br 0.0195 0.0389 0.6146  1 Cu 2.39, 1 Ag 2.67
14 Br 0.9805 0.9611 0.3854  1 Cu 2.39, 1 Ag 2.67
15 Br 0.0195 0.0389 0.8854  1 Cu 2.39, 1 Ag 2.67
16 Br 0.9805 0.9611 0.1146  1 Cu 2.39, 1 Ag 2.67

Uncorrected energy in Ry/atom: -0.1944
E_form (uncorrected) in meV/atom: -219
SG: No. 63

---

VASP calculation (PBE-GGA) on a geometry-optimized Cu2AgBr4 structure.

abc: 5.6288 5.6288 6.2334
angles: 90.00 90.00 90.00
Closest atoms and distances in Å follow each position.
Atoms (fractional coordinates):
1 Cu 0.5000 0.0000 0.5000  4 Br 2.44
2 Cu 0.0000 0.5000 0.5000  4 Br 2.44
3 Ag 0.0000 0.0000 0.0000  4 Br 2.69
4 Br 0.7381 0.2619 0.7269  2 Cu 2.44, 1 Ag 2.69
5 Br 0.2619 0.2619 0.2731  2 Cu 2.44, 1 Ag 2.69
6 Br 0.2619 0.7381 0.7269  2 Cu 2.44, 1 Ag 2.69
7 Br 0.7381 0.7381 0.2731  2 Cu 2.44, 1 Ag 2.69

Uncorrected energy in Ry/atom: -0.2096
E_form (uncorrected) in meV/atom: -318
SG: No. 111

---

Q: Which of these has the lowest E_form (uncorrected)?
A: Cu2AgBr4